An optimized crystal structure of Dy2YNpP4. Source: the Alexandria database, functional PBE.

Values from the calculation:
Symmetry: P2/m, No. 10
VASP energy (eV per cell): -61.65
Density (Mg/m³): 7.2
Magnetic moment (μB/atom): 0.452

Lattice parameters (Å, degrees): 6.911 3.986 6.912 90.00 109.32 90.00
Sites, in units of the cell vectors:
Dy1 0.000 0.000 0.000
Dy2 0.500 0.500 0.000
Y1 0.000 0.500 0.500
Np1 0.500 0.000 0.500
P1 0.254 0.000 0.747
P2 0.254 0.500 0.254
P3 0.746 0.000 0.253
P4 0.746 0.500 0.746

***

An optimized crystal structure of TiSbMo2I. Source: the Alexandria database, functional PBE.

Values from the calculation:
Symmetry: P4/mmm, No. 123
Uncorrected formation energy (eV per atom): 1.38
VASP energy (eV per cell): -28.35
Density (Mg/m³): 6.6
Magnetic moment (μB/atom): 0.701

Lattice parameters (Å, degrees): 4.905 4.905 5.096 90.00 90.00 90.00
Sites, in units of the cell vectors:
Ti1 0.000 0.000 0.000
Sb1 0.000 0.000 0.500
Mo1 0.000 0.500 0.000
Mo2 0.500 0.000 0.000
I1 0.500 0.500 0.500

***

An optimized crystal structure of KBeZn. Source: the Alexandria database, functional PBE.

Values from the calculation:
Symmetry: I4mm, No. 107
VASP energy (eV per cell): -4.69
Relative energy among the computed polymorphs (meV per atom): 29.4
Density (Mg/m³): 2.8
Magnetic moment (μB/atom): 0.000

Lattice parameters (Å, degrees): 6.473 6.473 6.473 150.26 150.26 42.56
Sites, in units of the cell vectors:
K1 0.000 0.000 0.000
Be1 0.265 0.265 0.000
Zn1 0.733 0.733 0.000

***

An optimized crystal structure of CaCu5Au7. Source: the Alexandria database, functional PBE.

Values from the calculation:
Symmetry: Imm2, No. 44
VASP energy (eV per cell): -48.15
Density (Mg/m³): 13.2
Magnetic moment (μB/atom): 0.000

Lattice parameters (Å, degrees): 6.969 6.969 6.969 135.95 98.32 97.85
Sites, in units of the cell vectors:
Ca1 0.000 0.000 0.000
Cu1 0.501 0.495 0.504
Cu2 0.501 0.997 0.006
Cu3 0.764 0.264 0.500
Cu4 0.991 0.495 0.994
Cu5 0.991 0.997 0.496
Au1 0.196 0.491 0.705
Au2 0.221 0.721 0.500
Au3 0.342 0.000 0.341
Au4 0.343 0.343 0.000
Au5 0.659 0.000 0.659
Au6 0.664 0.664 0.000
Au7 0.786 0.491 0.295